10
Lattice="-3.077 6.592 2.832 -4.677 0.494 -6.232 -2.140 -1.634 1.477" Properties=species:S:1:pos:R:3 comment="Hf2ZnIr2, relaxed, DFT PBE" delta_e_f_ev_per_fu=-2.40 mass_density_kg_m3=14316 space_group="No. 127" pbc="T T T"
Ir -2.832 1.629 0.890
Ir -7.063 3.824 -2.813
Ir -4.490 0.419 -2.852
Ir -5.404 5.034 0.929
Hf -5.029 2.706 -4.295
Hf -5.661 5.906 -1.671
Hf -2.094 1.180 -1.729
Hf -2.725 4.380 0.896
Zn -3.877 3.543 -1.700
Zn 0.000 0.000 0.000

***

4
Lattice="3.483 0.000 0.000 0.000 3.483 0.000 0.000 0.000 9.735" Properties=species:S:1:pos:R:3 comment="TbHo2Sc, relaxed, DFT PBE" delta_e_f_ev_per_fu=0.16 de_polymorph_ev_per_atom=0.012 mass_density_kg_m3=7506 space_group="No. 123" pbc="T T T"
Ho 0.000 0.000 2.324
Ho 0.000 0.000 7.410
Sc 1.741 1.741 0.000
Tb 1.741 1.741 4.867